Below is a relaxed structure of Sn2BPt2Rh4, with properties calculated at the PBE level. Values from VASP.

Results
V ... 15.13 A^3/atom
Space-group type ... I4/mmm (139)
Raw total energy ... -6.673 eV/atom
ΔE_f ... -0.43 eV/atom
N(E_F) ... 5.4 states/eV/f.u.

The structure in Quantum ESPRESSO input format:
```
&SYSTEM
  ibrav = 0, nat = 9, ntyp = 4
/
ATOMIC_SPECIES
Sn 118.71 Sn.upf
Rh 102.91 Rh.upf
Pt 195.08 Pt.upf
B 10.81 B.upf
ATOMIC_POSITIONS crystal
Sn 0.500 0.750 0.250
Sn 0.500 0.250 0.750
Rh 0.000 0.747 0.253
Rh 0.506 0.253 0.253
Pt 0.000 0.260 0.260
Rh 0.494 0.747 0.747
Rh 0.000 0.253 0.747
B 0.000 0.000 0.000
Pt 0.000 0.740 0.740
CELL_PARAMETERS angstrom
5.757 -0.034 -0.050
-2.794 5.034 0.050
-2.794 -1.722 4.731
```

=====

Below is a relaxed structure of SrBPt2Rh, with properties calculated at the PBE level. Values from VASP.

Results
V ... 17.84 A^3/atom
Space-group type ... P4/mmm (123)
Raw total energy ... -5.580 eV/atom
Distance to the lowest polymorph of the same formula ... 504 meV/atom
ΔE_f ... -0.02 eV/atom
N(E_F) ... 1.9 states/eV/f.u.

The structure in Quantum ESPRESSO input format:
```
&SYSTEM
  ibrav = 0, nat = 5, ntyp = 4
/
ATOMIC_SPECIES
Sr 87.62 Sr.upf
B 10.81 B.upf
Pt 195.08 Pt.upf
Rh 102.91 Rh.upf
ATOMIC_POSITIONS crystal
Sr 0.000 0.500 0.000
B 0.000 0.000 0.000
Pt 0.500 0.000 0.000
Pt 0.000 0.000 0.500
Rh 0.500 0.500 0.500
CELL_PARAMETERS angstrom
-0.559 0.940 -3.976
4.373 -2.623 -1.235
-2.209 -3.445 -0.504
```

=====

Below is a relaxed structure of SrBPt2Rh, with properties calculated at the PBE level. Values from VASP.

Results
V ... 16.41 A^3/atom
Space-group type ... P4/mmm (123)
Raw total energy ... -6.084 eV/atom
Distance to the lowest polymorph of the same formula ... 0 meV/atom
ΔE_f ... -0.53 eV/atom
N(E_F) ... 0.9 states/eV/f.u.

The structure in Quantum ESPRESSO input format:
```
&SYSTEM
  ibrav = 0, nat = 5, ntyp = 4
/
ATOMIC_SPECIES
Pt 195.08 Pt.upf
Rh 102.91 Rh.upf
Sr 87.62 Sr.upf
B 10.81 B.upf
ATOMIC_POSITIONS crystal
Pt 0.500 0.000 0.000
Pt 0.000 0.500 0.000
Rh 0.000 0.000 0.500
Sr 0.500 0.500 0.500
B 0.000 0.000 0.000
CELL_PARAMETERS angstrom
-1.703 -3.668 1.624
3.511 -2.216 -1.324
1.922 0.784 3.788
```

=====

Below is a relaxed structure of Tb3BPt2Rh3, with properties calculated at the PBE level. Values from VASP.

Results
V ... 17.84 A^3/atom
Space-group type ... P-62m (189)
Raw total energy ... -6.973 eV/atom
ΔE_f ... -0.90 eV/atom
N(E_F) ... 3.1 states/eV/f.u.

The structure in Quantum ESPRESSO input format:
```
&SYSTEM
  ibrav = 0, nat = 9, ntyp = 4
/
ATOMIC_SPECIES
Pt 195.08 Pt.upf
Tb 158.93 Tb.upf
B 10.81 B.upf
Rh 102.91 Rh.upf
ATOMIC_POSITIONS crystal
Pt 0.500 0.333 0.667
Tb 0.000 0.381 0.000
B 0.000 0.000 0.000
Tb 0.000 0.619 0.619
Rh 0.500 0.785 0.000
Pt 0.500 0.667 0.333
Rh 0.500 0.000 0.785
Tb 0.000 0.000 0.381
Rh 0.500 0.215 0.215
CELL_PARAMETERS angstrom
3.468 0.000 0.000
0.000 7.310 0.000
0.000 -3.655 6.331
```

=====

Below is a relaxed structure of Tb3B2Pt9Rh, with properties calculated at the PBE level. Values from VASP.

Results
V ... 17.75 A^3/atom
Space-group type ... P-3m1 (164)
Raw total energy ... -6.688 eV/atom
ΔE_f ... -0.76 eV/atom
N(E_F) ... 7.4 states/eV/f.u.

The structure in Quantum ESPRESSO input format:
```
&SYSTEM
  ibrav = 0, nat = 15, ntyp = 4
/
ATOMIC_SPECIES
Pt 195.08 Pt.upf
B 10.81 B.upf
Tb 158.93 Tb.upf
Rh 102.91 Rh.upf
ATOMIC_POSITIONS crystal
Pt 0.500 0.500 0.000
B 0.333 0.667 0.147
Tb 0.333 0.667 0.595
Pt 0.162 0.838 0.277
B 0.667 0.333 0.853
Tb 0.667 0.333 0.405
Tb 0.000 0.000 0.000
Pt 0.838 0.676 0.723
Pt 0.000 0.500 0.000
Pt 0.500 0.000 0.000
Pt 0.838 0.162 0.723
Pt 0.676 0.838 0.277
Pt 0.324 0.162 0.723
Pt 0.162 0.324 0.277
Rh 0.000 0.000 0.500
CELL_PARAMETERS angstrom
5.690 0.000 0.000
-2.845 4.928 0.000
0.000 0.000 9.495
```

=====

Below is a relaxed structure of Tb2BPt2Rh4, with properties calculated at the PBE level. Values from VASP.

Results
V ... 15.87 A^3/atom
Space-group type ... I4/mmm (139)
Raw total energy ... -7.242 eV/atom
ΔE_f ... -0.86 eV/atom
N(E_F) ... 7.9 states/eV/f.u.

The structure in Quantum ESPRESSO input format:
```
&SYSTEM
  ibrav = 0, nat = 9, ntyp = 4
/
ATOMIC_SPECIES
Tb 158.93 Tb.upf
Rh 102.91 Rh.upf
B 10.81 B.upf
Pt 195.08 Pt.upf
ATOMIC_POSITIONS crystal
Tb 0.500 0.750 0.250
Rh 0.000 0.255 0.745
Rh 0.000 0.745 0.255
B 0.000 0.000 0.000
Rh 0.511 0.255 0.255
Rh 0.489 0.745 0.745
Pt 0.000 0.740 0.740
Tb 0.500 0.250 0.750
Pt 0.000 0.260 0.260
CELL_PARAMETERS angstrom
5.852 -0.041 -0.059
-2.845 5.114 0.059
-2.845 -1.741 4.809
```

=====

Below is a relaxed structure of Tb2B2PtRh5, with properties calculated at the PBE level. Values from VASP.

Results
V ... 14.79 A^3/atom
Space-group type ... P4/mbm (127)
Raw total energy ... -7.211 eV/atom
ΔE_f ... -0.67 eV/atom
N(E_F) ... 8.5 states/eV/f.u.

The structure in Quantum ESPRESSO input format:
```
&SYSTEM
  ibrav = 0, nat = 20, ntyp = 4
/
ATOMIC_SPECIES
Tb 158.93 Tb.upf
Rh 102.91 Rh.upf
Pt 195.08 Pt.upf
B 10.81 B.upf
ATOMIC_POSITIONS crystal
Tb 0.000 0.678 0.178
Tb 0.000 0.178 0.322
Rh 0.500 0.430 0.274
Pt 0.000 0.000 0.000
Rh 0.500 0.930 0.226
Pt 0.000 0.500 0.500
B 0.000 0.622 0.878
Tb 0.000 0.322 0.822
B 0.000 0.378 0.122
Rh 0.500 0.774 0.930
Rh 0.500 0.226 0.070
Tb 0.000 0.822 0.678
Rh 0.500 0.500 0.000
B 0.000 0.878 0.378
Rh 0.500 0.274 0.570
Rh 0.500 0.070 0.774
Rh 0.500 0.000 0.500
Rh 0.500 0.570 0.726
Rh 0.500 0.726 0.430
B 0.000 0.122 0.622
CELL_PARAMETERS angstrom
-2.391 1.664 1.438
-3.890 -8.181 2.996
5.156 0.483 8.014
```

=====

Below is a relaxed structure of ThB2PtRh7, with properties calculated at the PBE level. Values from VASP.

Results
V ... 16.16 A^3/atom
Space-group type ... P4/mmm (123)
Raw total energy ... -7.136 eV/atom
ΔE_f ... -0.02 eV/atom
N(E_F) ... 14.1 states/eV/f.u.

The structure in Quantum ESPRESSO input format:
```
&SYSTEM
  ibrav = 0, nat = 11, ntyp = 4
/
ATOMIC_SPECIES
B 10.81 B.upf
Pt 195.08 Pt.upf
Rh 102.91 Rh.upf
Th 232.04 Th.upf
ATOMIC_POSITIONS crystal
B 0.500 0.500 0.804
Pt 0.000 0.000 0.500
Rh 0.000 0.500 0.783
B 0.500 0.500 0.196
Rh 0.500 0.500 0.000
Rh 0.500 0.000 0.217
Rh 0.000 0.500 0.217
Rh 0.500 0.000 0.783
Rh 0.500 0.500 0.389
Th 0.000 0.000 0.000
Rh 0.500 0.500 0.611
CELL_PARAMETERS angstrom
-0.618 3.887 1.090
-3.882 -0.875 0.919
2.890 -2.341 9.986
```

=====

Below is a relaxed structure of ThB2PtRh2, with properties calculated at the PBE level. Values from VASP.

Results
V ... 15.60 A^3/atom
Space-group type ... I4/mmm (139)
Raw total energy ... -7.570 eV/atom
ΔE_f ... -0.65 eV/atom
N(E_F) ... 1.7 states/eV/f.u.

The structure in Quantum ESPRESSO input format:
```
&SYSTEM
  ibrav = 0, nat = 6, ntyp = 4
/
ATOMIC_SPECIES
B 10.81 B.upf
Pt 195.08 Pt.upf
Th 232.04 Th.upf
Rh 102.91 Rh.upf
ATOMIC_POSITIONS crystal
B 0.812 0.812 0.625
Pt 0.000 0.000 0.000
B 0.188 0.188 0.375
Th 0.500 0.500 0.000
Rh 0.750 0.250 0.500
Rh 0.250 0.750 0.500
CELL_PARAMETERS angstrom
4.045 0.000 0.000
0.000 4.045 0.000
-2.023 -2.023 5.721
```

=====

Below is a relaxed structure of Th2BPt6Rh, with properties calculated at the PBE level. Values from VASP.

Results
V ... 18.67 A^3/atom
Space-group type ... R-3m (166)
Raw total energy ... -7.323 eV/atom
ΔE_f ... -0.81 eV/atom
N(E_F) ... 5.9 states/eV/f.u.

The structure in Quantum ESPRESSO input format:
```
&SYSTEM
  ibrav = 0, nat = 20, ntyp = 4
/
ATOMIC_SPECIES
Pt 195.08 Pt.upf
Th 232.04 Th.upf
Rh 102.91 Rh.upf
B 10.81 B.upf
ATOMIC_POSITIONS crystal
Pt 0.310 0.797 0.095
Th 0.895 0.895 0.315
Pt 0.882 0.355 0.408
Rh 0.582 0.582 0.255
Pt 0.645 0.118 0.592
Pt 0.355 0.355 0.408
Rh 0.418 0.418 0.745
Pt 0.355 0.882 0.408
Pt 0.690 0.203 0.905
Th 0.274 0.274 0.179
Pt 0.797 0.310 0.095
Pt 0.203 0.203 0.905
Pt 0.797 0.797 0.095
Pt 0.645 0.645 0.592
Th 0.105 0.105 0.685
B 0.500 0.500 0.500
Pt 0.118 0.645 0.592
Th 0.726 0.726 0.821
Pt 0.203 0.690 0.905
B 0.000 0.000 0.000
CELL_PARAMETERS angstrom
-2.020 -1.993 -4.858
1.553 -5.093 -1.814
-10.654 -7.934 4.428
```

=====

Below is a relaxed structure of Th2B3PtRh12, with properties calculated at the PBE level. Values from VASP.

Results
V ... 15.77 A^3/atom
Space-group type ... R-3m (166)
Raw total energy ... -7.392 eV/atom
ΔE_f ... -0.22 eV/atom
N(E_F) ... 20.7 states/eV/f.u.

The structure in Quantum ESPRESSO input format:
```
&SYSTEM
  ibrav = 0, nat = 18, ntyp = 4
/
ATOMIC_SPECIES
Rh 102.91 Rh.upf
B 10.81 B.upf
Th 232.04 Th.upf
Pt 195.08 Pt.upf
ATOMIC_POSITIONS crystal
Rh 0.869 0.269 0.269
Rh 0.731 0.131 0.731
B 0.000 0.000 0.500
Rh 0.550 0.154 0.154
Rh 0.846 0.450 0.846
B 0.500 0.000 0.000
Rh 0.846 0.846 0.450
Rh 0.269 0.269 0.869
Rh 0.154 0.550 0.154
B 0.000 0.500 0.000
Rh 0.131 0.731 0.731
Th 0.404 0.404 0.404
Rh 0.731 0.731 0.131
Rh 0.450 0.846 0.846
Th 0.596 0.596 0.596
Rh 0.154 0.154 0.550
Pt 0.000 0.000 0.000
Rh 0.269 0.869 0.269
CELL_PARAMETERS angstrom
-6.985 1.886 -1.014
-4.821 -5.203 -1.753
-4.942 -2.028 4.985
```

=====

Below is a relaxed structure of Th4B3PtRh12, with properties calculated at the PBE level. Values from VASP.

Results
V ... 17.01 A^3/atom
Space-group type ... Im-3m (229)
Raw total energy ... -7.852 eV/atom
ΔE_f ... -0.65 eV/atom
N(E_F) ... 18.1 states/eV/f.u.

The structure in Quantum ESPRESSO input format:
```
&SYSTEM
  ibrav = 0, nat = 20, ntyp = 4
/
ATOMIC_SPECIES
Rh 102.91 Rh.upf
B 10.81 B.upf
Th 232.04 Th.upf
Pt 195.08 Pt.upf
ATOMIC_POSITIONS crystal
Rh 0.719 0.719 0.000
Rh 0.719 0.000 0.719
Rh 0.250 0.500 0.750
Rh 0.750 0.500 0.250
Rh 0.500 0.250 0.750
B 0.500 0.500 0.000
Rh 0.000 0.719 0.719
Th 0.000 0.500 0.000
Rh 0.750 0.250 0.500
Rh 0.281 0.000 0.281
Th 0.000 0.000 0.500
Rh 0.000 0.281 0.281
Pt 0.000 0.000 0.000
Rh 0.500 0.750 0.250
Th 0.500 0.000 0.000
B 0.000 0.500 0.500
Rh 0.281 0.281 0.000
Th 0.500 0.500 0.500
B 0.500 0.000 0.500
Rh 0.250 0.750 0.500
CELL_PARAMETERS angstrom
7.617 0.000 0.000
-2.539 7.182 0.000
-2.539 -3.591 6.219
```

=====

Below is a relaxed structure of ThB2PtRh5, with properties calculated at the PBE level. Values from VASP.

Results
V ... 15.11 A^3/atom
Space-group type ... P4/mmm (123)
Raw total energy ... -7.356 eV/atom
ΔE_f ... -0.29 eV/atom
N(E_F) ... 10.3 states/eV/f.u.

The structure in Quantum ESPRESSO input format:
```
&SYSTEM
  ibrav = 0, nat = 9, ntyp = 4
/
ATOMIC_SPECIES
Rh 102.91 Rh.upf
Pt 195.08 Pt.upf
Th 232.04 Th.upf
B 10.81 B.upf
ATOMIC_POSITIONS crystal
Rh 0.500 0.000 0.221
Rh 0.000 0.500 0.779
Pt 0.000 0.000 0.000
Th 0.000 0.000 0.500
B 0.500 0.500 0.207
Rh 0.000 0.500 0.221
Rh 0.500 0.500 0.500
Rh 0.500 0.000 0.779
B 0.500 0.500 0.793
CELL_PARAMETERS angstrom
-3.415 -2.025 -1.443
2.064 -0.942 -3.563
2.502 -6.471 3.160
```

=====

Below is a relaxed structure of TlBPt2Rh, with properties calculated at the PBE level. Values from VASP.

Results
V ... 15.50 A^3/atom
Space-group type ... P4/mmm (123)
Raw total energy ... -5.787 eV/atom
ΔE_f ... -0.09 eV/atom
N(E_F) ... 2.9 states/eV/f.u.

The structure in Quantum ESPRESSO input format:
```
&SYSTEM
  ibrav = 0, nat = 5, ntyp = 4
/
ATOMIC_SPECIES
Tl 204.38 Tl.upf
Pt 195.08 Pt.upf
Rh 102.91 Rh.upf
B 10.81 B.upf
ATOMIC_POSITIONS crystal
Tl 0.500 0.500 0.500
Pt 0.500 0.000 0.000
Pt 0.000 0.500 0.000
Rh 0.000 0.000 0.500
B 0.000 0.000 0.000
CELL_PARAMETERS angstrom
4.298 0.000 0.000
0.000 4.298 0.000
0.000 0.000 4.195
```

=====

Below is a relaxed structure of TlBPtRh2, with properties calculated at the PBE level. Values from VASP.

Results
V ... 15.00 A^3/atom
Space-group type ... P4/mmm (123)
Raw total energy ... -6.137 eV/atom
ΔE_f ... -0.18 eV/atom
N(E_F) ... 0.9 states/eV/f.u.

The structure in Quantum ESPRESSO input format:
```
&SYSTEM
  ibrav = 0, nat = 5, ntyp = 4
/
ATOMIC_SPECIES
Rh 102.91 Rh.upf
B 10.81 B.upf
Pt 195.08 Pt.upf
Tl 204.38 Tl.upf
ATOMIC_POSITIONS crystal
Rh 0.000 0.500 0.000
Rh 0.500 0.000 0.000
B 0.000 0.000 0.000
Pt 0.000 0.000 0.500
Tl 0.500 0.500 0.500
CELL_PARAMETERS angstrom
-3.423 -1.776 1.713
2.339 -1.399 3.222
-0.787 3.556 2.115
```

=====

Below is a relaxed structure of Tl2BPtRh, with properties calculated at the PBE level. Values from VASP.

Results
V ... 19.18 A^3/atom
Space-group type ... P4/mmm (123)
Raw total energy ... -4.332 eV/atom
ΔE_f ... 0.63 eV/atom
N(E_F) ... 4.5 states/eV/f.u.

The structure in Quantum ESPRESSO input format:
```
&SYSTEM
  ibrav = 0, nat = 5, ntyp = 4
/
ATOMIC_SPECIES
Tl 204.38 Tl.upf
Pt 195.08 Pt.upf
Rh 102.91 Rh.upf
B 10.81 B.upf
ATOMIC_POSITIONS crystal
Tl 0.500 0.000 0.000
Pt 0.000 0.500 0.000
Tl 0.000 0.000 0.500
Rh 0.500 0.500 0.500
B 0.000 0.000 0.000
CELL_PARAMETERS angstrom
-1.047 -4.677 -0.873
3.192 -1.126 2.204
-2.795 -0.118 3.989
```

=====

Below is a relaxed structure of TmBPtRh2, with properties calculated at the PBE level. Values from VASP.

Results
V ... 14.98 A^3/atom
Space-group type ... P4/mmm (123)
Raw total energy ... -7.271 eV/atom
ΔE_f ... -0.89 eV/atom
N(E_F) ... 0.3 states/eV/f.u.

The structure in Quantum ESPRESSO input format:
```
&SYSTEM
  ibrav = 0, nat = 5, ntyp = 4
/
ATOMIC_SPECIES
Pt 195.08 Pt.upf
Rh 102.91 Rh.upf
Tm 168.93 Tm.upf
B 10.81 B.upf
ATOMIC_POSITIONS crystal
Pt 0.500 0.000 0.000
Rh 0.000 0.500 0.000
Tm 0.500 0.500 0.500
Rh 0.000 0.000 0.500
B 0.000 0.000 0.000
CELL_PARAMETERS angstrom
4.204 0.000 0.000
0.000 4.222 0.000
0.000 0.000 4.222
```

=====

Below is a relaxed structure of Y3B2Pt9Rh, with properties calculated at the PBE level. Values from VASP.

Results
V ... 17.73 A^3/atom
Space-group type ... P-3m1 (164)
Raw total energy ... -7.046 eV/atom
ΔE_f ... -0.75 eV/atom
N(E_F) ... 7.5 states/eV/f.u.

The structure in Quantum ESPRESSO input format:
```
&SYSTEM
  ibrav = 0, nat = 15, ntyp = 4
/
ATOMIC_SPECIES
Pt 195.08 Pt.upf
Y 88.91 Y.upf
B 10.81 B.upf
Rh 102.91 Rh.upf
ATOMIC_POSITIONS crystal
Pt 0.162 0.324 0.277
Pt 0.838 0.162 0.723
Y 0.333 0.667 0.595
B 0.333 0.667 0.147
Pt 0.500 0.500 0.000
Y 0.667 0.333 0.405
Y 0.000 0.000 0.000
Pt 0.838 0.676 0.723
Pt 0.162 0.838 0.277
Pt 0.500 0.000 0.000
Pt 0.676 0.838 0.277
Rh 0.000 0.000 0.500
Pt 0.324 0.162 0.723
Pt 0.000 0.500 0.000
B 0.667 0.333 0.853
CELL_PARAMETERS angstrom
-4.819 -2.587 -1.570
1.800 -0.363 5.386
-4.908 7.824 2.168
```

=====

Below is a relaxed structure of YBPtRh2, with properties calculated at the PBE level. Values from VASP.

Results
V ... 15.27 A^3/atom
Space-group type ... P4/mmm (123)
Raw total energy ... -7.627 eV/atom
ΔE_f ... -0.85 eV/atom
N(E_F) ... 0.3 states/eV/f.u.

The structure in Quantum ESPRESSO input format:
```
&SYSTEM
  ibrav = 0, nat = 5, ntyp = 4
/
ATOMIC_SPECIES
Rh 102.91 Rh.upf
Pt 195.08 Pt.upf
B 10.81 B.upf
Y 88.91 Y.upf
ATOMIC_POSITIONS crystal
Rh 0.500 0.000 0.000
Pt 0.000 0.000 0.500
Rh 0.000 0.500 0.000
B 0.000 0.000 0.000
Y 0.500 0.500 0.500
CELL_PARAMETERS angstrom
-0.683 3.448 -2.390
-4.126 -0.993 -0.254
-0.759 2.265 3.484
```

=====

Below is a relaxed structure of Y2BPt2Rh4, with properties calculated at the PBE level. Values from VASP.

Results
V ... 15.85 A^3/atom
Space-group type ... I4/mmm (139)
Raw total energy ... -7.635 eV/atom
ΔE_f ... -0.85 eV/atom
N(E_F) ... 7.6 states/eV/f.u.

The structure in Quantum ESPRESSO input format:
```
&SYSTEM
  ibrav = 0, nat = 9, ntyp = 4
/
ATOMIC_SPECIES
Rh 102.91 Rh.upf
Pt 195.08 Pt.upf
Y 88.91 Y.upf
B 10.81 B.upf
ATOMIC_POSITIONS crystal
Rh 0.000 0.745 0.255
Rh 0.489 0.745 0.745
Pt 0.000 0.260 0.260
Rh 0.511 0.255 0.255
Y 0.500 0.750 0.250
Y 0.500 0.250 0.750
B 0.000 0.000 0.000
Pt 0.000 0.740 0.740
Rh 0.000 0.255 0.745
CELL_PARAMETERS angstrom
5.851 -0.043 -0.062
-2.846 5.112 0.062
-2.846 -1.738 4.808
```